VASP calculation (GGA-PBE) on a relaxed La2Nd3Sm6 crystal.

Output
ΔE to the lowest computed polymorph in meV/atom: 100
ΔE_f in eV per atom: 0.25
Space-group type: No. 139
Spin magnetization in μB/atom: 0.000

abc: 17.390 17.390 17.390
angles: 163.93 163.93 22.81
Element x y z (fractional)
La  0.045  0.045  0.000
La  0.955  0.955  0.000
Nd  0.298  0.298  0.000
Nd  0.500  0.500  0.000
Nd  0.702  0.702  0.000
Sm  0.122  0.622  0.500
Sm  0.196  0.196  0.000
Sm  0.378  0.878  0.500
Sm  0.622  0.122  0.500
Sm  0.804  0.804  0.000
Sm  0.878  0.378  0.500